Compound: GaAsH3
Source: Alexandria via LeMat-Bulk
Functional: meta-GGA SCAN
Structure: PBEsol geometry

Output
Calculated total energy: -8.555 eV/atom
Crystal system: cubic

Cell: 3.625 3.625 3.625 Å, 90.00 90.00 90.00°
Space group Pm-3m (No. 221)
Asymmetric unit:
Ga (0.000, 0.000, 0.000) (multiplicity 1)
As (0.500, 0.500, 0.500) (multiplicity 1)
H (0.000, 0.000, 0.500) (multiplicity 3)